No. 1
Material: TaTlIr3
Method: DFT, PBE
State: relaxed

For the formation energy, the calculation gives 1.315 eV/atom. The calculated total energy is -34.23 eV per formula unit. The calculation puts the offset from the most stable computed form at 0 meV/atom.

It has space group Pm-3m (No. 221), with a = 4.8459 Å, b = 4.8459 Å, c = 4.8459 Å, α = 90.00°, β = 90.00° and γ = 90.00°. Symmetry generates all atoms from Ta at (0.0000, 0.0000, 0.0000), Tl at (0.5000, 0.5000, 0.5000) and Ir at (0.0000, 0.0000, 0.5000).

No. 2
Material: TaTlIr4
Method: DFT, PBE
State: relaxed

For the formation energy, the calculation gives 0.180 eV/atom. The calculated total energy is -48.58 eV per formula unit.

It has space group F-43m (No. 216), with a = 7.4108 Å, b = 7.4108 Å, c = 7.4108 Å, α = 90.00°, β = 90.00° and γ = 90.00°. Symmetry generates all atoms from Ta at (0.0000, 0.0000, 0.0000), Tl at (0.2500, 0.2500, 0.7500) and Ir at (0.1248, 0.1248, 0.3752).

No. 3
Material: TaTlIr2
Method: DFT, PBE
State: relaxed

For the formation energy, the calculation gives -0.074 eV/atom. The calculated total energy is -32.24 eV per formula unit. The calculation puts the offset from the most stable computed form at 64 meV/atom.

It has space group Pmmm (No. 47), with a = 2.9877 Å, b = 3.7267 Å, c = 6.2975 Å, α = 90.00°, β = 90.00° and γ = 90.00°. Symmetry generates all atoms from Ta at (0.0000, 0.0000, 0.0000), Tl at (0.0000, 0.0000, 0.5000) and Ir at (0.5000, 0.5000, 0.2200).

No. 4
Material: TaTl2Ir
Method: DFT, PBE
State: relaxed

For the formation energy, the calculation gives 0.861 eV/atom. The calculated total energy is -22.00 eV per formula unit. The calculation puts the offset from the most stable computed form at 740 meV/atom.

It has space group I-42d (No. 122), with a = 7.7852 Å, b = 7.7852 Å, c = 5.6712 Å, α = 90.00°, β = 90.00° and γ = 90.00°. Symmetry generates all atoms from Ta at (0.0000, 0.0000, 0.0000), Tl at (0.2297, 0.2500, 0.6250) and Ir at (0.0000, 0.0000, 0.5000).

No. 5
Material: TaTl2Ir
Method: DFT, PBE
State: relaxed

For the formation energy, the calculation gives 0.746 eV/atom. The calculated total energy is -22.46 eV per formula unit. The calculation puts the offset from the most stable computed form at 624 meV/atom.

It has space group I4/mmm (No. 139), with a = 4.1615 Å, b = 4.1615 Å, c = 9.2691 Å, α = 90.00°, β = 90.00° and γ = 90.00°. Symmetry generates all atoms from Ta at (0.0000, 0.0000, 0.0000), Tl at (0.0000, 0.5000, 0.2500) and Ir at (0.0000, 0.0000, 0.5000).

No. 6
Material: TaTlIr2
Method: DFT, PBE
State: relaxed

For the formation energy, the calculation gives 0.105 eV/atom. The calculated total energy is -31.52 eV per formula unit. The calculation puts the offset from the most stable computed form at 243 meV/atom.

It has space group Cm (No. 8), with a = 9.6349 Å, b = 3.0209 Å, c = 4.8848 Å, α = 90.00°, β = 101.67° and γ = 90.00°. Symmetry generates all atoms from Ta at (0.0000, 0.0000, 0.0000), Tl at (0.2651, 0.5000, 0.3390), Ir at (0.0185, 0.5000, 0.5448) and Ir at (0.2680, 0.0000, 0.8488).

No. 7
Material: TaTlIr2
Method: DFT, PBE
State: relaxed

For the formation energy, the calculation gives 0.358 eV/atom. The calculated total energy is -30.51 eV per formula unit. The calculation puts the offset from the most stable computed form at 496 meV/atom.

It has space group R3m (No. 160, hexagonal axes), with a = 2.9377 Å, b = 2.9377 Å, c = 27.9464 Å, α = 90.00°, β = 90.00° and γ = 120.00°. Symmetry generates all atoms from Ta at (0.0000, 0.0000, 0.0000), Tl at (0.0000, 0.0000, 0.7606), Ir at (0.0000, 0.0000, 0.2563) and Ir at (0.0000, 0.0000, 0.5098).

No. 8
Material: TaTlIr2
Method: DFT, PBE
State: relaxed

For the formation energy, the calculation gives 0.151 eV/atom. The calculated total energy is -31.34 eV per formula unit. The calculation puts the offset from the most stable computed form at 289 meV/atom.

It has space group Fm-3m (No. 225), with a = 6.5231 Å, b = 6.5231 Å, c = 6.5231 Å, α = 90.00°, β = 90.00° and γ = 90.00°. Symmetry generates all atoms from Ta at (0.0000, 0.0000, 0.0000), Tl at (0.0000, 0.0000, 0.5000) and Ir at (0.2500, 0.2500, 0.2500).

No. 9
Material: TaTlIr2
Method: DFT, PBE
State: relaxed

For the formation energy, the calculation gives 0.151 eV/atom. The calculated total energy is -31.34 eV per formula unit. The calculation puts the offset from the most stable computed form at 289 meV/atom.

It has space group C2/m (No. 12), with a = 9.1207 Å, b = 3.0672 Å, c = 5.1822 Å, α = 90.00°, β = 102.31° and γ = 90.00°. Symmetry generates all atoms from Ta at (0.0000, 0.0000, 0.0000), Tl at (0.0000, 0.5000, 0.5000) and Ir at (0.2368, 0.5000, 0.2145).

No. 10
Material: TaTlIr2
Method: DFT, PBE
State: relaxed

For the formation energy, the calculation gives 0.401 eV/atom. The calculated total energy is -30.34 eV per formula unit. The calculation puts the offset from the most stable computed form at 538 meV/atom.

It has space group F-43m (No. 216), with a = 6.5071 Å, b = 6.5071 Å, c = 6.5071 Å, α = 90.00°, β = 90.00° and γ = 90.00°. Symmetry generates all atoms from Ta at (0.0000, 0.0000, 0.0000), Tl at (0.2500, 0.2500, 0.7500), Ir at (0.0000, 0.0000, 0.5000) and Ir at (0.2500, 0.2500, 0.2500).

No. 11
Material: TaTlIr2
Method: DFT, PBE
State: relaxed

For the formation energy, the calculation gives 0.090 eV/atom. The calculated total energy is -31.58 eV per formula unit. The calculation puts the offset from the most stable computed form at 228 meV/atom.

It has space group Cmmm (No. 65), with a = 6.0101 Å, b = 7.5835 Å, c = 3.0024 Å, α = 90.00°, β = 90.00° and γ = 90.00°. Symmetry generates all atoms from Ta at (0.0000, 0.0000, 0.0000), Tl at (0.0000, 0.5000, 0.0000) and Ir at (0.2500, 0.2500, 0.5000).

No. 12
Material: TaTl2Ir
Method: DFT, PBE
State: relaxed

For the formation energy, the calculation gives 0.744 eV/atom. The calculated total energy is -22.47 eV per formula unit. The calculation puts the offset from the most stable computed form at 622 meV/atom.

It has space group P4/mmm (No. 123), with a = 4.9671 Å, b = 4.9671 Å, c = 3.1702 Å, α = 90.00°, β = 90.00° and γ = 90.00°. Symmetry generates all atoms from Ta at (0.0000, 0.0000, 0.0000), Tl at (0.0000, 0.5000, 0.5000) and Ir at (0.5000, 0.5000, 0.0000).

No. 13
Material: TaTlIr2
Method: DFT, PBE
State: relaxed

For the formation energy, the calculation gives 0.141 eV/atom. The calculated total energy is -31.38 eV per formula unit. The calculation puts the offset from the most stable computed form at 278 meV/atom.

It has space group Imm2 (No. 44), with a = 3.9473 Å, b = 3.9817 Å, c = 8.6734 Å, α = 90.00°, β = 90.00° and γ = 90.00°. Symmetry generates all atoms from Ta at (0.0000, 0.0000, 0.0000), Tl at (0.0000, 0.5000, 0.7503), Ir at (0.0000, 0.0000, 0.5007) and Ir at (0.0000, 0.5000, 0.2526).

No. 14
Material: TaTlIr2
Method: DFT, PBE
State: relaxed

For the formation energy, the calculation gives 0.357 eV/atom. The calculated total energy is -30.51 eV per formula unit. The calculation puts the offset from the most stable computed form at 494 meV/atom.

It has space group I-42d (No. 122), with a = 7.3745 Å, b = 7.3745 Å, c = 5.7528 Å, α = 90.00°, β = 90.00° and γ = 90.00°. Symmetry generates all atoms from Ta at (0.0000, 0.0000, 0.0000), Tl at (0.0000, 0.0000, 0.5000) and Ir at (0.2113, 0.2500, 0.1250).

No. 15
Material: TaTlIr2
Method: DFT, PBE
State: relaxed

For the formation energy, the calculation gives -0.126 eV/atom. The calculated total energy is -32.44 eV per formula unit. The calculation puts the offset from the most stable computed form at 12 meV/atom.

It has space group P4/mmm (No. 123), with a = 2.9708 Å, b = 2.9708 Å, c = 7.9596 Å, α = 90.00°, β = 90.00° and γ = 90.00°. Symmetry generates all atoms from Ta at (0.0000, 0.0000, 0.0000), Tl at (0.0000, 0.0000, 0.5000) and Ir at (0.5000, 0.5000, 0.2226).